Record 1
This record from the Alexandria database describes Cd2InAg4 after structural relaxation. The functional is GGA-PBE.

a b c (Å): 5.5917 7.4196 7.4287
angles (deg): 67.02 80.72 80.13
Closest atoms and distances in Å follow each position.
Fractional positions:
Cd: 0.0000 0.0000 0.0000  7 Ag 2.88-3.10, 1 Cd 3.13, 2 In 3.19-3.21
Cd: 0.0055 0.3914 0.6276  6 Ag 2.87-3.06, 2 Cd 3.00-3.13
Cd: 0.5031 0.6096 0.5707  5 Ag 2.78-2.96, 1 Cd 3.00
Cd: 0.6589 0.2094 0.4458  6 Ag 2.88-3.10, 2 In 3.04-3.19
In: 0.1551 0.2615 0.2056  6 Ag 2.76-3.07, 1 Cd 3.04
In: 0.6422 0.8197 0.8333  7 Ag 2.88-3.19, 3 Cd 3.18-3.21
Ag: 0.1280 0.6128 0.8642  2 Cd 2.78-3.05, 2 In 2.84-2.88, 5 Ag 2.91-3.08
Ag: 0.2295 0.0102 0.6113  4 Ag 2.81-3.15, 3 Cd 2.88-2.94, 2 In 2.89-2.91
Ag: 0.3281 0.6238 0.2091  6 Ag 2.80-3.06, 2 Cd 2.96-3.06, 2 In 3.02
Ag: 0.4311 0.2059 0.8305  3 Ag 2.82-3.01, 4 Cd 2.87-2.93, 2 In 2.90-3.10
Ag: 0.5332 0.9627 0.2331  1 In 2.76, 3 Cd 2.84-3.07, 4 Ag 2.90-3.01
Ag: 0.6823 0.3839 0.0045  5 Ag 2.82-3.10, 2 In 2.96-3.07, 3 Cd 3.01-3.10
Ag: 0.8296 0.6022 0.2297  6 Ag 2.80-3.02, 4 Cd 2.89-3.01, 2 In 2.90-3.01
Ag: 0.9807 0.8262 0.4425  5 Ag 2.81-3.08, 3 Cd 2.96-3.10

total magnetic moment	0.00	μB per cell
raw total energy	-2.3075	eV/atom
energy above the most stable polymorph in this dataset	0	meV per atom
ρ	9.21	Mg/m³

Record 2
This record from the Alexandria database describes Cd4In2Ag5 after structural relaxation. The functional is GGA-PBE.

a b c (Å): 7.3226 20.2880 3.0481
angles (deg): 90.00 90.00 90.00
Closest atoms and distances in Å follow each position.
Fractional positions:
Cd: 0.0233 0.1271 0.0000  6 Ag 2.94-3.00, 3 Cd 3.05-3.10, 1 In 3.15
Cd: 0.1742 0.4594 0.0000  8 Ag 2.95-3.05, 4 Cd 3.04-3.10
Cd: 0.3258 0.9594 0.0000  8 Ag 2.95-3.05, 4 Cd 3.04-3.10
Cd: 0.4767 0.6271 0.0000  6 Ag 2.94-3.00, 3 Cd 3.05-3.10, 1 In 3.15
Cd: 0.5233 0.3729 0.0000  6 Ag 2.94-3.00, 3 Cd 3.05-3.10, 1 In 3.15
Cd: 0.6742 0.0406 0.0000  8 Ag 2.95-3.05, 4 Cd 3.04-3.10
Cd: 0.8258 0.5406 0.0000  8 Ag 2.95-3.05, 4 Cd 3.04-3.10
Cd: 0.9767 0.8729 0.0000  6 Ag 2.94-3.00, 3 Cd 3.05-3.10, 1 In 3.15
In: 0.1322 0.7197 0.0000  6 Ag 2.98-3.06, 2 In 3.05, 2 Cd 3.15-3.31
In: 0.3678 0.2197 0.0000  6 Ag 2.98-3.06, 2 In 3.05, 2 Cd 3.15-3.31
In: 0.6322 0.7803 0.0000  6 Ag 2.98-3.06, 2 In 3.05, 2 Cd 3.15-3.31
In: 0.8678 0.2803 0.0000  6 Ag 2.98-3.06, 2 In 3.05, 2 Cd 3.15-3.31
Ag: 0.0000 0.0000 0.5000  8 Cd 2.95-3.00, 4 Ag 3.05-3.14
Ag: 0.1500 0.5892 0.5000  6 Cd 2.94-3.05, 4 Ag 3.02-3.14, 2 In 3.06
Ag: 0.1949 0.3296 0.5000  4 Cd 2.98-3.05, 4 In 2.98-3.01, 3 Ag 3.02-3.05
Ag: 0.3051 0.8296 0.5000  4 Cd 2.98-3.05, 4 In 2.98-3.01, 3 Ag 3.02-3.05
Ag: 0.3500 0.0892 0.5000  6 Cd 2.94-3.05, 4 Ag 3.02-3.14, 2 In 3.06
Ag: 0.5000 0.5000 0.5000  8 Cd 2.95-3.00, 4 Ag 3.05-3.14
Ag: 0.6500 0.9108 0.5000  6 Cd 2.94-3.05, 4 Ag 3.02-3.14, 2 In 3.06
Ag: 0.6949 0.1704 0.5000  4 Cd 2.98-3.05, 4 In 2.98-3.01, 3 Ag 3.02-3.05
Ag: 0.8051 0.6704 0.5000  4 Cd 2.98-3.05, 4 In 2.98-3.01, 3 Ag 3.02-3.05
Ag: 0.8500 0.4108 0.5000  6 Cd 2.94-3.05, 4 Ag 3.02-3.14, 2 In 3.06

total magnetic moment	0.00	μB per cell
raw total energy	-2.1384	eV/atom
ρ	8.94	Mg/m³

Record 3
This record from the Alexandria database describes CdIn2Ag8 after structural relaxation. The functional is GGA-PBE.

a b c (Å): 7.9027 7.9027 7.9027
angles (deg): 151.07 111.94 75.59
Closest atoms and distances in Å follow each position.
Fractional positions:
Cd: 0.0000 0.0000 0.0000  12 Ag 2.91-3.02
In: 0.3592 0.3592 0.0000  8 Ag 2.88-3.01
In: 0.6408 0.6408 0.0000  8 Ag 2.88-3.01
Ag: 0.0820 0.8336 0.2484  7 Ag 2.87-2.97, 2 In 2.99, 1 Cd 3.02
Ag: 0.1768 0.6768 0.5000  8 Ag 2.96-3.07, 2 Cd 2.96, 2 In 3.01
Ag: 0.2420 0.5000 0.7420  6 Ag 2.87-3.07, 2 In 2.88, 2 Cd 2.91
Ag: 0.4147 0.1664 0.2484  7 Ag 2.87-2.97, 2 In 2.99, 1 Cd 3.02
Ag: 0.5853 0.8336 0.7516  7 Ag 2.87-2.97, 2 In 2.99, 1 Cd 3.02
Ag: 0.7580 0.5000 0.2580  6 Ag 2.87-3.07, 2 In 2.88, 2 Cd 2.91
Ag: 0.8232 0.3232 0.5000  8 Ag 2.96-3.07, 2 Cd 2.96, 2 In 3.01
Ag: 0.9180 0.1664 0.7516  7 Ag 2.87-2.97, 2 In 2.99, 1 Cd 3.02

total magnetic moment	0.00	μB per cell
raw total energy	-2.6539	eV/atom
energy above the most stable polymorph in this dataset	31	meV per atom
ρ	9.18	Mg/m³

Record 4
This record from the Alexandria database describes Cd2InAg2 after structural relaxation. The functional is GGA-PBE.

a b c (Å): 8.3510 8.3510 3.0918
angles (deg): 90.00 90.00 90.00
Closest atoms and distances in Å follow each position.
Fractional positions:
Cd: 0.1737 0.3263 0.0000  6 Ag 2.86-2.95, 2 Cd 3.09
Cd: 0.3263 0.8263 0.0000  6 Ag 2.86-2.95, 2 Cd 3.09
Cd: 0.6737 0.1737 0.0000  6 Ag 2.86-2.95, 2 Cd 3.09
Cd: 0.8263 0.6737 0.0000  6 Ag 2.86-2.95, 2 Cd 3.09
In: 0.0000 0.0000 0.5000  2 In 3.09, 4 Ag 3.31, 8 Cd 3.45
In: 0.5000 0.5000 0.5000  2 In 3.09, 4 Ag 3.31, 8 Cd 3.45
Ag: 0.1231 0.6231 0.5000  6 Cd 2.86-2.95, 3 Ag 2.91-3.09
Ag: 0.3769 0.1231 0.5000  6 Cd 2.86-2.95, 3 Ag 2.91-3.09
Ag: 0.6231 0.8769 0.5000  6 Cd 2.86-2.95, 3 Ag 2.91-3.09
Ag: 0.8769 0.3769 0.5000  6 Cd 2.86-2.95, 3 Ag 2.91-3.09

total magnetic moment	0.00	μB per cell
raw total energy	-2.0566	eV/atom
energy above the most stable polymorph in this dataset	17	meV per atom
ρ	8.55	Mg/m³

Record 5
This record from the Alexandria database describes CdIn4Ag2 after structural relaxation. The functional is GGA-PBE.

a b c (Å): 7.3538 7.3538 5.8316
angles (deg): 108.83 108.83 35.25
Closest atoms and distances in Å follow each position.
Fractional positions:
Cd: 0.0000 0.0000 0.0000  2 Ag 2.92, 6 In 3.00-3.04
In: 0.1755 0.1755 0.8042  4 Ag 2.91-3.00, 1 Cd 3.04
In: 0.4288 0.4288 0.6369  1 In 2.95, 3 Ag 2.98-3.02, 2 Cd 3.00
In: 0.5712 0.5712 0.3631  1 In 2.95, 3 Ag 2.98-3.02, 2 Cd 3.00
In: 0.8245 0.8245 0.1958  4 Ag 2.91-3.00, 1 Cd 3.04
Ag: 0.2107 0.2107 0.3246  7 In 2.91-3.02, 1 Cd 2.92, 2 Ag 2.97
Ag: 0.7893 0.7893 0.6754  7 In 2.91-3.02, 1 Cd 2.92, 2 Ag 2.97

total magnetic moment	0.00	μB per cell
raw total energy	-2.4893	eV/atom
ρ	7.63	Mg/m³

Record 6
This record from the Alexandria database describes Cd7In2Ag2 after structural relaxation. The functional is GGA-PBE.

a b c (Å): 5.5606 5.5606 8.7848
angles (deg): 95.01 95.01 112.53
Closest atoms and distances in Å follow each position.
Fractional positions:
Cd: 0.0000 0.0000 0.0000  2 Ag 3.07, 10 Cd 3.07-3.29
Cd: 0.1813 0.6068 0.1463  1 Ag 2.92, 8 Cd 2.97-3.23, 1 In 3.09
Cd: 0.2719 0.2719 0.7061  3 Ag 2.97-3.25, 5 Cd 2.99-3.29, 2 In 3.24
Cd: 0.3932 0.8187 0.8537  1 Ag 2.92, 8 Cd 2.97-3.23, 1 In 3.09
Cd: 0.6068 0.1813 0.1463  1 Ag 2.92, 8 Cd 2.97-3.23, 1 In 3.09
Cd: 0.7281 0.7281 0.2939  3 Ag 2.97-3.25, 5 Cd 2.99-3.29, 2 In 3.24
Cd: 0.8187 0.3932 0.8537  1 Ag 2.92, 8 Cd 2.97-3.23, 1 In 3.09
In: 0.2508 0.7492 0.5000  2 In 3.09, 6 Cd 3.09-3.37, 4 Ag 3.10-3.12
In: 0.7492 0.2508 0.5000  2 In 3.09, 6 Cd 3.09-3.37, 4 Ag 3.10-3.12
Ag: 0.2154 0.2154 0.3391  6 Cd 2.92-3.25, 4 In 3.10-3.12
Ag: 0.7846 0.7846 0.6609  6 Cd 2.92-3.25, 4 In 3.10-3.12

total magnetic moment	0.00	μB per cell
raw total energy	-1.5747	eV/atom
energy above the most stable polymorph in this dataset	4	meV per atom
ρ	8.26	Mg/m³

Record 7
This record from the Alexandria database describes CdIn5Ag2 after structural relaxation. The functional is GGA-PBE.

a b c (Å): 5.7521 5.7521 21.1390
angles (deg): 90.00 90.00 147.12
Closest atoms and distances in Å follow each position.
Fractional positions:
Cd: 0.2060 0.7940 0.7500  5 In 2.96-3.18, 4 Ag 3.03, 2 Cd 3.26
Cd: 0.7940 0.2060 0.2500  5 In 2.96-3.18, 4 Ag 3.03, 2 Cd 3.26
In: 0.1005 0.8995 0.6102  3 Ag 3.06-3.16, 1 Cd 3.18, 5 In 3.26-3.42
In: 0.1005 0.8995 0.8898  3 Ag 3.06-3.16, 1 Cd 3.18, 5 In 3.26-3.42
In: 0.3681 0.6319 0.5309  2 Ag 3.01, 5 In 3.19-3.34
In: 0.3681 0.6319 0.9691  2 Ag 3.01, 5 In 3.19-3.34
In: 0.4744 0.5256 0.7500  3 Cd 2.96-3.03, 4 Ag 3.09, 2 In 3.26
In: 0.5256 0.4744 0.2500  3 Cd 2.96-3.03, 4 Ag 3.09, 2 In 3.26
In: 0.6319 0.3681 0.0309  2 Ag 3.01, 5 In 3.19-3.34
In: 0.6319 0.3681 0.4691  2 Ag 3.01, 5 In 3.19-3.34
In: 0.8995 0.1005 0.1102  3 Ag 3.06-3.16, 1 Cd 3.18, 5 In 3.26-3.42
In: 0.8995 0.1005 0.3898  3 Ag 3.06-3.16, 1 Cd 3.18, 5 In 3.26-3.42
Ag: 0.1660 0.8340 0.1495  7 In 3.01-3.16, 2 Cd 3.03, 2 Ag 3.26
Ag: 0.1660 0.8340 0.3505  7 In 3.01-3.16, 2 Cd 3.03, 2 Ag 3.26
Ag: 0.8340 0.1660 0.6495  7 In 3.01-3.16, 2 Cd 3.03, 2 Ag 3.26
Ag: 0.8340 0.1660 0.8505  7 In 3.01-3.16, 2 Cd 3.03, 2 Ag 3.26

total magnetic moment	0.00	μB per cell
raw total energy	-2.5096	eV/atom
ρ	7.89	Mg/m³

Record 8
This record from the Alexandria database describes Cd8InAg2 after structural relaxation. The functional is GGA-PBE.

a b c (Å): 7.7222 7.7222 5.3685
angles (deg): 102.58 102.58 119.20
Closest atoms and distances in Å follow each position.
Fractional positions:
Cd: 0.0946 0.3260 0.6486  2 Ag 2.91-2.92, 5 Cd 2.97-3.12
Cd: 0.2255 0.7745 0.0000  2 Ag 2.88, 1 In 3.00, 2 Cd 3.08
Cd: 0.3260 0.0946 0.6486  2 Ag 2.91-2.92, 5 Cd 2.97-3.12
Cd: 0.4150 0.4150 0.2038  6 Cd 2.87-3.12, 1 In 2.94, 2 Ag 2.97
Cd: 0.5850 0.5850 0.7962  6 Cd 2.87-3.12, 1 In 2.94, 2 Ag 2.97
Cd: 0.6740 0.9054 0.3514  2 Ag 2.91-2.92, 5 Cd 2.97-3.12
Cd: 0.7745 0.2255 0.0000  2 Ag 2.88, 1 In 3.00, 2 Cd 3.08
Cd: 0.9054 0.6740 0.3514  2 Ag 2.91-2.92, 5 Cd 2.97-3.12
In: 0.0000 0.0000 0.0000  4 Cd 2.94-3.00
Ag: 0.3045 0.6955 0.5000  8 Cd 2.88-2.97
Ag: 0.6955 0.3045 0.5000  8 Cd 2.88-2.97

total magnetic moment	0.00	μB per cell
raw total energy	-1.3987	eV/atom
ρ	8.10	Mg/m³

Q: The lowest raw total energy belongs to which entry?
A: CdIn2Ag8

Q: Which value of total magnetic moment does entry 2 give?
A: 0.00 μB per cell

Q: Which of these has the lowest raw total energy?
A: CdIn2Ag8